1.
4
Lattice="0.000 3.983 3.983 3.983 0.000 3.983 3.983 3.983 0.000" Properties=species:S:1:pos:R:3 comment="CsYCd2 GGA-PBEsol optimized geometry" energy_ev_per_cell=-9.2 ef_ev_per_atom=0.235 pbc="T T T"
Cs 0.000 0.000 0.000
Y 3.983 3.983 3.983
Cd 1.992 1.992 1.992
Cd 5.975 5.975 5.975

=====

2.
5
Lattice="-2.511 2.511 5.316 2.511 -2.511 5.316 2.511 2.511 -5.316" Properties=species:S:1:pos:R:3 comment="CsZn2Cd2 GGA-PBEsol optimized geometry" energy_ev_per_cell=-5.9 ef_ev_per_atom=0.110 pbc="T T T"
Cs 0.000 0.000 0.000
Zn 2.511 0.000 2.658
Zn 0.000 2.511 2.658
Cd 0.000 0.000 3.835
Cd 0.000 0.000 6.798

=====

3.
6
Lattice="2.926 0.000 0.000 0.000 2.926 0.000 0.000 0.000 8.867" Properties=species:S:1:pos:R:3 comment="CdCu5 GGA-PBEsol optimized geometry" energy_ev_per_cell=-22.6 polymorph_energy_kj_per_mol_atoms=0.00 ef_ev_per_atom=0.049 pbc="T T T"
Cd 0.000 0.000 0.000
Cu 0.000 0.000 3.104
Cu 0.000 0.000 5.763
Cu 1.463 1.463 1.782
Cu 1.463 1.463 4.433
Cu 1.463 1.463 7.085

=====

4.
12
Lattice="4.966 0.000 0.000 -2.483 4.301 0.000 0.000 0.000 7.880" Properties=species:S:1:pos:R:3 comment="CdCu2 GGA-PBEsol optimized geometry" energy_ev_per_cell=-39.4 ef_ev_per_atom=0.006 pbc="T T T"
Cd 0.000 2.867 0.482
Cd 0.000 2.867 3.457
Cd 2.483 1.434 4.422
Cd 2.483 1.434 7.397
Cu 0.000 0.000 0.000
Cu 0.000 0.000 3.940
Cu 0.000 1.453 5.910
Cu -1.225 3.574 5.910
Cu 1.258 0.726 1.970
Cu 1.225 3.574 5.910
Cu 3.708 0.726 1.970
Cu 2.483 2.848 1.970

=====

5.
6
Lattice="0.000 3.390 3.390 3.390 0.000 3.390 3.390 3.390 0.000" Properties=species:S:1:pos:R:3 comment="CdCu5 GGA-PBEsol optimized geometry" energy_ev_per_cell=-22.3 polymorph_energy_kj_per_mol_atoms=4.49 ef_ev_per_atom=0.096 pbc="T T T"
Cd 0.000 0.000 0.000
Cu 2.545 2.545 2.545
Cu 4.234 4.234 2.545
Cu 4.234 2.545 4.234
Cu 5.085 5.085 5.085
Cu 2.545 4.234 4.234

=====

6.
6
Lattice="4.195 0.000 0.000 0.000 1.354 6.702 0.000 -1.354 6.702" Properties=species:S:1:pos:R:3 comment="CdCu5 GGA-PBEsol optimized geometry" energy_ev_per_cell=-22.4 polymorph_energy_kj_per_mol_atoms=2.87 ef_ev_per_atom=0.079 pbc="T T T"
Cd 0.000 0.000 0.000
Cu 0.000 0.000 4.390
Cu 0.000 0.000 9.057
Cu 2.098 0.000 2.926
Cu 2.098 0.000 7.534
Cu 2.098 0.000 11.737

=====

7.
28
Lattice="8.147 0.000 0.000 -4.074 7.056 0.000 0.000 0.000 8.639" Properties=species:S:1:pos:R:3 comment="Cd5Cu2 GGA-PBEsol optimized geometry" energy_ev_per_cell=-58.4 ef_ev_per_atom=0.007 pbc="T T T"
Cd 0.000 0.000 0.000
Cd 0.000 0.000 4.319
Cd -1.590 3.786 2.160
Cd 0.000 2.874 4.669
Cd 0.000 2.874 8.289
Cd -1.585 5.619 4.669
Cd -1.585 5.619 8.289
Cd 2.489 1.437 0.350
Cd 2.489 1.437 3.970
Cd 1.590 3.786 2.160
Cd 0.000 6.539 2.160
Cd 4.074 0.516 6.479
Cd 2.484 3.270 6.479
Cd 1.585 5.619 4.669
Cd 1.585 5.619 8.289
Cd 5.659 1.437 0.350
Cd 5.659 1.437 3.970
Cd 4.074 4.182 0.350
Cd 4.074 4.182 3.970
Cd 5.663 3.270 6.479
Cu 0.000 1.568 2.160
Cu -2.716 6.272 2.160
Cu 1.358 0.784 6.479
Cu 0.000 4.704 6.479
Cu 4.074 2.352 2.160
Cu 2.716 6.272 2.160
Cu 6.789 0.784 6.479
Cu 4.074 5.488 6.479

=====

8.
6
Lattice="1.794 -5.944 0.000 1.794 5.944 0.000 0.000 0.000 3.948" Properties=species:S:1:pos:R:3 comment="CdCu2 GGA-PBEsol optimized geometry" energy_ev_per_cell=-19.3 ef_ev_per_atom=0.071 pbc="T T T"
Cd 1.794 4.903 2.961
Cd 1.794 -4.903 0.987
Cu 1.794 2.998 0.987
Cu 1.794 1.160 2.961
Cu 1.794 -1.160 0.987
Cu 1.794 -2.998 2.961

=====

9.
5
Lattice="-3.350 3.350 2.057 3.350 -3.350 2.057 3.350 3.350 -2.057" Properties=species:S:1:pos:R:3 comment="Cd4Cu GGA-PBEsol optimized geometry" energy_ev_per_cell=-8.7 ef_ev_per_atom=0.080 pbc="T T T"
Cd 1.954 0.676 0.000
Cd 2.674 -1.396 2.057
Cd 0.676 4.745 0.000
Cd 1.396 2.674 2.057
Cu 0.000 0.000 2.057

=====

10.
9
Lattice="-3.888 3.888 1.813 3.888 -3.888 1.813 3.888 3.888 -1.813" Properties=species:S:1:pos:R:3 comment="CdCu8 GGA-PBEsol optimized geometry" energy_ev_per_cell=-35.5 ef_ev_per_atom=0.040 pbc="T T T"
Cd 0.000 0.000 0.000
Cu 2.645 0.000 0.000
Cu 5.132 0.000 0.000
Cu 2.531 2.531 0.000
Cu 1.357 -1.357 1.813
Cu 0.000 2.645 0.000
Cu 0.000 5.132 0.000
Cu -1.357 1.357 1.813
Cu 1.357 1.357 1.813

=====

11.
29
Lattice="-4.908 4.908 4.908 4.908 -4.908 4.908 4.908 4.908 -4.908" Properties=species:S:1:pos:R:3 comment="Cd17Cu12 GGA-PBEsol optimized geometry" energy_ev_per_cell=-70.4 ef_ev_per_atom=0.067 pbc="T T T"
Cd 0.000 0.000 0.000
Cd 1.643 1.643 -1.643
Cd 4.439 1.387 -1.387
Cd 1.643 -1.643 1.643
Cd 4.439 -1.387 1.387
Cd 5.377 1.387 1.387
Cd 1.387 4.439 -1.387
Cd 1.387 -1.387 4.439
Cd -1.643 1.643 1.643
Cd 3.521 3.521 0.469
Cd 3.521 0.469 3.521
Cd -1.387 4.439 1.387
Cd -1.387 1.387 4.439
Cd 3.266 3.266 3.266
Cd 1.387 5.377 1.387
Cd 1.387 1.387 5.377
Cd 0.469 3.521 3.521
Cu 7.149 0.888 -0.888
Cu 7.149 -0.888 0.888
Cu 4.020 4.020 -2.240
Cu 2.668 0.888 0.888
Cu 4.020 -2.240 4.020
Cu 0.888 2.668 0.888
Cu 0.888 0.888 2.668
Cu 0.888 7.149 -0.888
Cu 0.888 -0.888 7.149
Cu -0.888 7.149 0.888
Cu -2.240 4.020 4.020
Cu -0.888 0.888 7.149

=====

12.
7
Lattice="-1.517 1.517 11.305 1.517 -1.517 11.305 1.517 1.517 -11.305" Properties=species:S:1:pos:R:3 comment="Cd3Cu4 GGA-PBEsol optimized geometry" energy_ev_per_cell=-20.6 ef_ev_per_atom=0.042 pbc="T T T"
Cd 0.000 0.000 0.000
Cd 0.000 0.000 6.742
Cd 0.000 0.000 15.868
Cu 0.000 0.000 2.885
Cu 0.000 0.000 9.627
Cu 0.000 0.000 12.983
Cu 0.000 0.000 19.725

=====

13.
6
Lattice="4.899 -1.377 0.000 4.899 1.377 0.000 -1.788 0.000 5.636" Properties=species:S:1:pos:R:3 comment="CdCu5 GGA-PBEsol optimized geometry" energy_ev_per_cell=-22.4 polymorph_energy_kj_per_mol_atoms=2.36 ef_ev_per_atom=0.073 pbc="T T T"
Cd 0.000 0.000 0.000
Cu -0.894 0.000 2.818
Cu 2.790 0.000 1.037
Cu 2.126 0.000 3.613
Cu 5.883 0.000 2.023
Cu 5.219 0.000 4.600

=====

14.
6
Lattice="1.862 -5.569 0.000 1.862 5.569 0.000 0.000 0.000 3.652" Properties=species:S:1:pos:R:3 comment="CdCu5 GGA-PBEsol optimized geometry" energy_ev_per_cell=-22.5 polymorph_energy_kj_per_mol_atoms=0.51 ef_ev_per_atom=0.054 pbc="T T T"
Cd 0.000 0.000 0.000
Cu 1.862 3.627 1.826
Cu 1.862 1.929 0.000
Cu 1.862 0.000 1.826
Cu 1.862 -1.929 0.000
Cu 1.862 -3.627 1.826

=====

15.
12
Lattice="2.697 -2.697 0.000 2.697 2.697 0.000 -2.647 0.000 11.598" Properties=species:S:1:pos:R:3 comment="CdCu2 GGA-PBEsol optimized geometry" energy_ev_per_cell=-38.6 ef_ev_per_atom=0.075 pbc="T T T"
Cd 0.707 2.020 6.831
Cd 0.716 2.020 10.565
Cd 2.030 -2.020 1.033
Cd 2.040 -2.020 4.766
Cu -0.638 0.673 8.702
Cu 2.031 0.675 1.125
Cu 0.686 -0.673 2.903
Cu 2.039 0.675 4.674
Cu 0.708 -0.675 6.924
Cu 2.060 0.673 8.694
Cu 0.715 -0.675 10.473
Cu 3.384 -0.673 2.896

=====

16.
3
Lattice="-1.522 1.522 4.523 1.522 -1.522 4.523 1.522 1.522 -4.523" Properties=species:S:1:pos:R:3 comment="CdCu2 GGA-PBEsol optimized geometry" energy_ev_per_cell=-9.7 ef_ev_per_atom=0.054 pbc="T T T"
Cd 0.000 0.000 0.000
Cu 0.000 0.000 2.858
Cu 0.000 0.000 6.188

=====

17.
6
Lattice="4.551 0.000 0.000 -2.276 3.942 0.000 0.000 0.000 4.226" Properties=species:S:1:pos:R:3 comment="CdCu5 GGA-PBEsol optimized geometry" energy_ev_per_cell=-22.5 polymorph_energy_kj_per_mol_atoms=0.47 ef_ev_per_atom=0.054 pbc="T T T"
Cd 0.000 0.000 0.000
Cu -1.452 2.515 2.113
Cu 0.000 2.628 0.000
Cu 0.824 1.427 2.113
Cu 2.904 0.000 2.113
Cu 2.276 1.314 0.000

=====

18.
6
Lattice="4.773 0.000 0.000 -2.386 4.133 0.000 0.000 0.000 4.090" Properties=species:S:1:pos:R:3 comment="CdCu5 GGA-PBEsol optimized geometry" energy_ev_per_cell=-22.3 polymorph_energy_kj_per_mol_atoms=4.59 ef_ev_per_atom=0.097 pbc="T T T"
Cd 0.000 0.000 0.000
Cu -1.193 2.067 2.045
Cu 0.000 2.755 0.000
Cu 2.386 0.000 2.045
Cu 1.193 2.067 2.045
Cu 2.386 1.378 0.000

=====

19.
9
Lattice="7.323 0.000 0.000 -3.662 6.342 0.000 0.000 0.000 3.842" Properties=species:S:1:pos:R:3 comment="DyCdCu GGA-PBEsol optimized geometry" energy_ev_per_cell=-34.3 ef_ev_per_atom=-0.311 pbc="T T T"
Dy -2.154 3.731 0.000
Dy 1.507 2.611 0.000
Dy 4.309 0.000 0.000
Cd -0.920 1.594 1.921
Cd 1.841 0.000 1.921
Cd 2.741 4.748 1.921
Cu 0.000 0.000 0.000
Cu 0.000 4.228 1.921
Cu 3.662 2.114 1.921

=====

20.
10
Lattice="7.393 0.000 0.000 0.000 7.393 0.000 0.000 0.000 3.567" Properties=species:S:1:pos:R:3 comment="Er2CdCu2 GGA-PBEsol optimized geometry" energy_ev_per_cell=-42.6 ef_ev_per_atom=-0.320 pbc="T T T"
Er 1.282 2.414 0.000
Er 2.414 6.110 0.000
Er 4.979 1.282 0.000
Er 6.110 4.979 0.000
Cd 0.000 0.000 1.783
Cd 3.696 3.696 1.783
Cu 0.892 4.589 1.783
Cu 2.804 0.892 1.783
Cu 4.589 6.501 1.783
Cu 6.501 2.804 1.783